Below is an optimized crystal structure of K3Ac2MnS6, with properties calculated at the PBE level.

a b c (Å): 7.3064 7.3064 7.8062
angles (deg): 98.86 98.86 120.57
With the nearest neighbours (Å) after each atom.
Sites, in units of the cell vectors:
K  0.5000  0.5000  0.5000  4 S 3.16
K  0.8339  0.1661  0.5000  6 S 3.17-3.39
K  0.1661  0.8339  0.5000  6 S 3.17-3.39
S  0.3785  0.0729  0.2114  1 Mn 2.73, 2 Ac 2.96-2.97
S  0.2128  0.2128  0.8152  1 Mn 2.42
S  0.0729  0.3785  0.2114  1 Mn 2.73, 2 Ac 2.96-2.97
S  0.7872  0.7872  0.1848  1 Mn 2.42
S  0.9271  0.6215  0.7886  1 Mn 2.73, 2 Ac 2.96-2.97
S  0.6215  0.9271  0.7886  1 Mn 2.73, 2 Ac 2.96-2.97
Ac  0.3307  0.6693  0.0000  6 S 2.96-3.03
Ac  0.6693  0.3307  0.0000  6 S 2.96-3.03
Mn  0.0000  0.0000  0.0000  2 S 2.42

- Energy relative to the elements, uncorrected: -1441 meV/atom
- Final energy: -62.74 eV per cell